(1)
First-principles (GGA-PBE) data for crystalline Tb2DyY5Tm at its relaxed geometry, as listed in the Alexandria database.

The structure in CIF format:
```
data_Tb2DyY5Tm
_cell_length_a 8.737
_cell_length_b 8.737
_cell_length_c 9.802
_cell_angle_alpha 116.47
_cell_angle_beta 116.47
_cell_angle_gamma 90.00
_space_group_name_H-M_alt 'P 1'
_space_group_IT_number 1
loop_
_space_group_symop_operation_xyz
'x,y,z'
loop_
_atom_site_label
_atom_site_type_symbol
_atom_site_fract_x
_atom_site_fract_y
_atom_site_fract_z
Tm1 Tm 0.250 0.750 0.500
Tm2 Tm 0.750 0.250 0.500
Y1 Y 0.571 0.656 0.727
Y2 Y 0.071 0.571 0.727
Y3 Y 0.929 0.429 0.273
Y4 Y 0.656 0.156 0.727
Y5 Y 0.429 0.344 0.273
Y6 Y 0.000 0.000 0.000
Y7 Y 0.500 0.500 0.000
Y8 Y 0.344 0.844 0.273
Y9 Y 0.844 0.929 0.273
Y10 Y 0.156 0.071 0.727
Dy1 Dy 0.750 0.750 0.500
Dy2 Dy 0.250 0.250 0.500
Tb1 Tb 0.885 0.615 0.000
Tb2 Tb 0.385 0.885 0.000
Tb3 Tb 0.115 0.385 0.000
Tb4 Tb 0.615 0.115 0.000
```

Computed properties:
calculated total energy	-96.15	eV/cell
formation energy from the elements	286	meV/atom
crystal system	tetragonal
DOS at the Fermi energy	25.792	states/eV per cell

(2)
First-principles (GGA-PBE) data for crystalline Tb2Dy2Y4Tm at its relaxed geometry, as listed in the Alexandria database.

The structure in CIF format:
```
data_Tb2Dy2Y4Tm
_cell_length_a 3.586
_cell_length_b 9.485
_cell_length_c 9.523
_cell_angle_alpha 115.26
_cell_angle_beta 90.00
_cell_angle_gamma 100.90
_space_group_name_H-M_alt 'P 1'
_space_group_IT_number 1
loop_
_space_group_symop_operation_xyz
'x,y,z'
loop_
_atom_site_label
_atom_site_type_symbol
_atom_site_fract_x
_atom_site_fract_y
_atom_site_fract_z
Tb1 Tb 0.149 0.297 0.667
Tb2 Tb 0.851 0.703 0.333
Y1 Y 0.815 0.630 0.667
Y2 Y 0.481 0.963 0.667
Y3 Y 0.185 0.370 0.333
Y4 Y 0.519 0.037 0.333
Tm1 Tm 0.000 0.000 0.000
Dy1 Dy 0.334 0.668 0.001
Dy2 Dy 0.666 0.332 0.999
```

Computed properties:
calculated total energy	-48.77	eV/cell
formation energy from the elements	3	meV/atom
crystal system	monoclinic
DOS at the Fermi energy	12.524	states/eV per cell

(3)
First-principles (GGA-PBE) data for crystalline TbDy2Y3Tm6 at its relaxed geometry, as listed in the Alexandria database.

The structure in CIF format:
```
data_TbDy2Y3Tm6
_cell_length_a 6.102
_cell_length_b 6.102
_cell_length_c 11.674
_cell_angle_alpha 94.99
_cell_angle_beta 94.99
_cell_angle_gamma 119.94
_space_group_name_H-M_alt 'P 1'
_space_group_IT_number 1
loop_
_space_group_symop_operation_xyz
'x,y,z'
loop_
_atom_site_label
_atom_site_type_symbol
_atom_site_fract_x
_atom_site_fract_y
_atom_site_fract_z
Tm1 Tm 0.917 0.583 0.751
Tm2 Tm 0.083 0.417 0.249
Tm3 Tm 0.417 0.083 0.249
Tm4 Tm 0.583 0.917 0.751
Tm5 Tm 0.250 0.250 0.751
Tm6 Tm 0.750 0.750 0.249
Dy1 Dy 0.667 0.333 0.000
Dy2 Dy 0.333 0.667 0.000
Y1 Y 0.167 0.833 0.500
Y2 Y 0.500 0.500 0.500
Y3 Y 0.833 0.167 0.500
Tb1 Tb 0.000 0.000 0.000
```

Computed properties:
calculated total energy	-59.75	eV/cell
formation energy from the elements	26	meV/atom
crystal system	monoclinic
DOS at the Fermi energy	17.473	states/eV per cell

(4)
First-principles (GGA-PBE) data for crystalline Tb6Dy2YTm3 at its relaxed geometry, as listed in the Alexandria database.

The structure in CIF format:
```
data_Tb6Dy2YTm3
_cell_length_a 6.132
_cell_length_b 6.132
_cell_length_c 11.715
_cell_angle_alpha 94.99
_cell_angle_beta 94.99
_cell_angle_gamma 119.94
_space_group_name_H-M_alt 'P 1'
_space_group_IT_number 1
loop_
_space_group_symop_operation_xyz
'x,y,z'
loop_
_atom_site_label
_atom_site_type_symbol
_atom_site_fract_x
_atom_site_fract_y
_atom_site_fract_z
Y1 Y 0.000 0.000 0.000
Tb1 Tb 0.250 0.250 0.748
Tb2 Tb 0.085 0.419 0.252
Tb3 Tb 0.581 0.915 0.748
Tb4 Tb 0.750 0.750 0.252
Tb5 Tb 0.915 0.581 0.748
Tb6 Tb 0.419 0.085 0.252
Dy1 Dy 0.333 0.667 0.000
Dy2 Dy 0.667 0.333 0.000
Tm1 Tm 0.500 0.500 0.500
Tm2 Tm 0.167 0.833 0.500
Tm3 Tm 0.833 0.167 0.500
```

Computed properties:
calculated total energy	-56.64	eV/cell
formation energy from the elements	19	meV/atom
crystal system	monoclinic
DOS at the Fermi energy	16.037	states/eV per cell

(5)
First-principles (GGA-PBE) data for crystalline Tb2Dy2Y6Tm at its relaxed geometry, as listed in the Alexandria database.

The structure in CIF format:
```
data_Tb2Dy2Y6Tm
_cell_length_a 6.651
_cell_length_b 6.651
_cell_length_c 11.892
_cell_angle_alpha 101.70
_cell_angle_beta 101.70
_cell_angle_gamma 129.60
_space_group_name_H-M_alt 'P 1'
_space_group_IT_number 1
loop_
_space_group_symop_operation_xyz
'x,y,z'
loop_
_atom_site_label
_atom_site_type_symbol
_atom_site_fract_x
_atom_site_fract_y
_atom_site_fract_z
Dy1 Dy 0.867 0.133 0.000
Dy2 Dy 0.133 0.867 0.000
Tm1 Tm 0.000 0.000 0.500
Y1 Y 0.551 0.854 0.203
Y2 Y 0.146 0.449 0.797
Y3 Y 0.704 0.704 0.704
Y4 Y 0.449 0.146 0.797
Y5 Y 0.854 0.551 0.203
Y6 Y 0.296 0.296 0.296
Tb1 Tb 0.292 0.708 0.500
Tb2 Tb 0.708 0.292 0.500
```

Computed properties:
calculated total energy	-60.15	eV/cell
formation energy from the elements	142	meV/atom
crystal system	orthorhombic
DOS at the Fermi energy	17.568	states/eV per cell

(6)
First-principles (GGA-PBE) data for crystalline TbDyY2Tm at its relaxed geometry, as listed in the Alexandria database.

The structure in CIF format:
```
data_TbDyY2Tm
_cell_length_a 7.216
_cell_length_b 8.343
_cell_length_c 7.055
_cell_angle_alpha 126.25
_cell_angle_beta 90.00
_cell_angle_gamma 90.00
_space_group_name_H-M_alt 'P 1'
_space_group_IT_number 1
loop_
_space_group_symop_operation_xyz
'x,y,z'
loop_
_atom_site_label
_atom_site_type_symbol
_atom_site_fract_x
_atom_site_fract_y
_atom_site_fract_z
Tm1 Tm 0.750 0.001 0.001
Tm2 Tm 0.250 0.999 0.999
Dy1 Dy 0.250 0.274 0.547
Dy2 Dy 0.750 0.726 0.453
Y1 Y 0.500 0.692 0.000
Y2 Y 0.500 0.308 0.000
Y3 Y 0.000 0.692 0.000
Y4 Y 0.000 0.308 0.000
Tb1 Tb 0.250 0.726 0.453
Tb2 Tb 0.750 0.274 0.547
```

Computed properties:
calculated total energy	-49.27	eV/cell
formation energy from the elements	400	meV/atom
crystal system	orthorhombic
DOS at the Fermi energy	12.875	states/eV per cell

(7)
First-principles (GGA-PBE) data for crystalline Tb3Dy6YTm2 at its relaxed geometry, as listed in the Alexandria database.

The structure in CIF format:
```
data_Tb3Dy6YTm2
_cell_length_a 6.130
_cell_length_b 6.130
_cell_length_c 11.729
_cell_angle_alpha 94.97
_cell_angle_beta 94.97
_cell_angle_gamma 119.94
_space_group_name_H-M_alt 'P 1'
_space_group_IT_number 1
loop_
_space_group_symop_operation_xyz
'x,y,z'
loop_
_atom_site_label
_atom_site_type_symbol
_atom_site_fract_x
_atom_site_fract_y
_atom_site_fract_z
Y1 Y 0.000 0.000 0.000
Dy1 Dy 0.417 0.083 0.249
Dy2 Dy 0.583 0.917 0.751
Dy3 Dy 0.252 0.252 0.751
Dy4 Dy 0.083 0.417 0.249
Dy5 Dy 0.748 0.748 0.249
Dy6 Dy 0.917 0.583 0.751
Tm1 Tm 0.667 0.333 0.000
Tm2 Tm 0.333 0.667 0.000
Tb1 Tb 0.167 0.833 0.500
Tb2 Tb 0.500 0.500 0.500
Tb3 Tb 0.833 0.167 0.500
```

Computed properties:
calculated total energy	-56.69	eV/cell
formation energy from the elements	18	meV/atom
crystal system	monoclinic
DOS at the Fermi energy	16.158	states/eV per cell

(8)
First-principles (GGA-PBE) data for crystalline Tb6Dy2Y3Tm at its relaxed geometry, as listed in the Alexandria database.

The structure in CIF format:
```
data_Tb6Dy2Y3Tm
_cell_length_a 6.154
_cell_length_b 6.154
_cell_length_c 11.771
_cell_angle_alpha 94.98
_cell_angle_beta 94.98
_cell_angle_gamma 119.95
_space_group_name_H-M_alt 'P 1'
_space_group_IT_number 1
loop_
_space_group_symop_operation_xyz
'x,y,z'
loop_
_atom_site_label
_atom_site_type_symbol
_atom_site_fract_x
_atom_site_fract_y
_atom_site_fract_z
Tm1 Tm 0.000 0.000 0.000
Tb1 Tb 0.250 0.250 0.751
Tb2 Tb 0.584 0.917 0.752
Tb3 Tb 0.416 0.083 0.248
Tb4 Tb 0.917 0.584 0.752
Tb5 Tb 0.083 0.416 0.248
Tb6 Tb 0.750 0.750 0.249
Y1 Y 0.833 0.167 0.500
Y2 Y 0.167 0.833 0.500
Y3 Y 0.500 0.500 0.500
Dy1 Dy 0.667 0.333 0.000
Dy2 Dy 0.333 0.667 0.000
```

Computed properties:
calculated total energy	-60.64	eV/cell
formation energy from the elements	18	meV/atom
crystal system	monoclinic
DOS at the Fermi energy	16.292	states/eV per cell

(9)
First-principles (GGA-PBE) data for crystalline Tb2Dy2Y2Tm at its relaxed geometry, as listed in the Alexandria database.

The structure in CIF format:
```
data_Tb2Dy2Y2Tm
_cell_length_a 5.655
_cell_length_b 5.655
_cell_length_c 8.751
_cell_angle_alpha 71.15
_cell_angle_beta 71.15
_cell_angle_gamma 60.00
_space_group_name_H-M_alt 'P 1'
_space_group_IT_number 1
loop_
_space_group_symop_operation_xyz
'x,y,z'
loop_
_atom_site_label
_atom_site_type_symbol
_atom_site_fract_x
_atom_site_fract_y
_atom_site_fract_z
Y1 Y 0.142 0.142 0.573
Y2 Y 0.858 0.858 0.427
Tm1 Tm 0.000 0.000 0.000
Tb1 Tb 0.713 0.713 0.862
Tb2 Tb 0.287 0.287 0.138
Dy1 Dy 0.571 0.571 0.288
Dy2 Dy 0.429 0.429 0.712
```

Computed properties:
calculated total energy	-34.90	eV/cell
formation energy from the elements	138	meV/atom
crystal system	trigonal
DOS at the Fermi energy	17.600	states/eV per cell

(10)
First-principles (GGA-PBE) data for crystalline TbDy2Y2Tm2 at its relaxed geometry, as listed in the Alexandria database.

The structure in CIF format:
```
data_TbDy2Y2Tm2
_cell_length_a 5.639
_cell_length_b 5.639
_cell_length_c 8.727
_cell_angle_alpha 71.15
_cell_angle_beta 71.15
_cell_angle_gamma 60.00
_space_group_name_H-M_alt 'P 1'
_space_group_IT_number 1
loop_
_space_group_symop_operation_xyz
'x,y,z'
loop_
_atom_site_label
_atom_site_type_symbol
_atom_site_fract_x
_atom_site_fract_y
_atom_site_fract_z
Tm1 Tm 0.571 0.571 0.286
Tm2 Tm 0.429 0.429 0.714
Dy1 Dy 0.715 0.715 0.854
Dy2 Dy 0.285 0.285 0.146
Y1 Y 0.858 0.858 0.425
Y2 Y 0.142 0.142 0.575
Tb1 Tb 0.000 0.000 0.000
```

Computed properties:
calculated total energy	-34.73	eV/cell
formation energy from the elements	140	meV/atom
crystal system	trigonal
DOS at the Fermi energy	17.845	states/eV per cell

(11)
First-principles (GGA-PBE) data for crystalline TbDy2YTm5 at its relaxed geometry, as listed in the Alexandria database.

The structure in CIF format:
```
data_TbDy2YTm5
_cell_length_a 8.760
_cell_length_b 8.760
_cell_length_c 9.622
_cell_angle_alpha 117.08
_cell_angle_beta 117.08
_cell_angle_gamma 90.00
_space_group_name_H-M_alt 'P 1'
_space_group_IT_number 1
loop_
_space_group_symop_operation_xyz
'x,y,z'
loop_
_atom_site_label
_atom_site_type_symbol
_atom_site_fract_x
_atom_site_fract_y
_atom_site_fract_z
Tm1 Tm 0.573 0.659 0.732
Tm2 Tm 0.500 0.500 0.000
Tm3 Tm 0.927 0.427 0.268
Tm4 Tm 0.159 0.073 0.732
Tm5 Tm 0.073 0.573 0.732
Tm6 Tm 0.427 0.341 0.268
Tm7 Tm 0.341 0.841 0.268
Tm8 Tm 0.659 0.159 0.732
Tm9 Tm 0.000 0.000 0.000
Tm10 Tm 0.841 0.927 0.268
Tb1 Tb 0.250 0.250 0.500
Tb2 Tb 0.750 0.750 0.500
Dy1 Dy 0.886 0.614 0.000
Dy2 Dy 0.114 0.386 0.000
Dy3 Dy 0.614 0.114 0.000
Dy4 Dy 0.386 0.886 0.000
Y1 Y 0.250 0.750 0.500
Y2 Y 0.750 0.250 0.500
```

Computed properties:
calculated total energy	-79.95	eV/cell
formation energy from the elements	298	meV/atom
crystal system	tetragonal
DOS at the Fermi energy	22.760	states/eV per cell

(12)
First-principles (GGA-PBE) data for crystalline TbDyY2Tm2 at its relaxed geometry, as listed in the Alexandria database.

The structure in CIF format:
```
data_TbDyY2Tm2
_cell_length_a 5.605
_cell_length_b 9.670
_cell_length_c 6.918
_cell_angle_alpha 90.00
_cell_angle_beta 90.00
_cell_angle_gamma 90.00
_space_group_name_H-M_alt 'P 1'
_space_group_IT_number 1
loop_
_space_group_symop_operation_xyz
'x,y,z'
loop_
_atom_site_label
_atom_site_type_symbol
_atom_site_fract_x
_atom_site_fract_y
_atom_site_fract_z
Y1 Y 0.500 0.833 0.750
Y2 Y 0.000 0.667 0.250
Y3 Y 0.500 0.167 0.250
Y4 Y 0.000 0.333 0.750
Tb1 Tb 0.000 0.000 0.000
Tb2 Tb 0.500 0.500 0.500
Tm1 Tm 0.500 0.833 0.250
Tm2 Tm 0.500 0.167 0.750
Tm3 Tm 0.000 0.667 0.750
Tm4 Tm 0.000 0.333 0.250
Dy1 Dy 0.500 0.500 0.000
Dy2 Dy 0.000 0.000 0.500
```

Computed properties:
calculated total energy	-61.29	eV/cell
formation energy from the elements	76	meV/atom
crystal system	orthorhombic
DOS at the Fermi energy	22.728	states/eV per cell

Calculated total magnetization in order - 0.0; 0.0; 0.0; 0.0; 0.0; 0.0; 0.0; 0.0; 0.0; 0.0; 0.0; 0.0 μB/f.u.